BaSrIr2 | PBEsol | relaxed

Unit cell a=3.298 b=3.298 c=8.465 alpha=90.00 beta=90.00 gamma=90.00
Atoms (fractional coordinates):
Sr1 0.500 0.500 0.000
Ba1 0.500 0.500 0.500
Ir1 0.000 0.000 0.241
Ir2 0.000 0.000 0.759

Computed properties:
**ρ**: 10.99 g/cm3
**Energy relative to the lowest polymorph listed for this composition**: 0.562 eV/atom
**DFT formation energy**: 0.44 eV/atom
**Space-group type**: P4/mmm


BaSr2Ir | PBEsol | relaxed

Unit cell a=4.338 b=6.175 c=7.145 alpha=115.60 beta=90.00 gamma=90.00
Atoms (fractional coordinates):
Sr1 0.000 0.852 0.703
Sr2 0.000 0.148 0.297
Ir1 0.500 0.000 0.000
Ba1 0.500 0.500 0.000

Computed properties:
**ρ**: 4.86 g/cm3
**Energy relative to the lowest polymorph listed for this composition**: 0.013 eV/atom
**DFT formation energy**: -0.02 eV/atom
**Space-group type**: Cmmm


BaSr2Ir | PBEsol | relaxed

Unit cell a=4.333 b=5.961 c=7.412 alpha=113.71 beta=90.00 gamma=90.00
Atoms (fractional coordinates):
Ba1 0.000 0.601 0.203
Ir1 0.500 0.750 0.499
Sr1 0.000 0.892 0.784
Sr2 0.500 0.256 0.511

Computed properties:
**ρ**: 4.78 g/cm3
**Energy relative to the lowest polymorph listed for this composition**: 0.000 eV/atom
**DFT formation energy**: -0.03 eV/atom
**Space-group type**: Amm2